The following is a PBE-GGA calculation of a relaxed structure of AcAg6Sn2, from Alexandria.

Cell and atoms, written as POSCAR:
```
AcAg6Sn2
1.0
-0.1037 4.7224 0.3364
-4.7180 -0.1310 0.3853
0.7581 -0.6294 9.0689
Sn Ag Ac
2 6 1
Direct
0.5000 0.5000 0.1566 Sn
0.5000 0.5000 0.8434 Sn
0.5000 0.0000 0.6812 Ag
0.5000 0.5000 0.5000 Ag
0.0000 0.5000 0.3188 Ag
0.5000 0.0000 0.3188 Ag
0.0000 0.0000 0.5000 Ag
0.0000 0.5000 0.6812 Ag
0.0000 0.0000 0.0000 Ac
```

Summary:
Offset from the most stable computed form ... 0 kJ/mol of formula units
SG ... P4/mmm
Energy ... -30.9 eV per cell
D(E_F) ... 4.32 states/eV/cell